Material: CdSnS3
Method: DFT, PBE
State: optimized geometry

Calculated values
space group: Amm2
magnetization: 0.00 μB/atom
theoretical density: 3.27 g/cm³
polymorph energy (0 for the lowest one): 0 meV per atom
formation energy from raw total energies: -282.2 meV/atom
DFT total energy: -3.74 eV/atom
DOS at the Fermi energy: 0.1591 states/eV/atom

a = 3.825 Å, b = 7.033 Å, c = 7.103 Å
α = 119.68°, β = 90.00°, γ = 90.00°
Fractional coordinates of all 5 atoms:
S  0.500  0.312  0.107
S  0.000  0.779  0.558
S  0.500  0.795  0.107
Cd  0.500  0.904  0.807
Sn  0.000  0.582  0.164

Material: BaSmAs
Method: DFT, PBE
State: optimized geometry

Calculated values
space group: C2/m
magnetization: 0.00 μB/atom
theoretical density: 6.18 g/cm³
DFT total energy: -4.66 eV/atom
DFT formation energy: -893 meV per atom
DOS at the Fermi energy: 0.8957 states/eV/atom

a = 4.732 Å, b = 4.732 Å, c = 9.318 Å
α = 104.68°, β = 104.68°, γ = 90.00°
Fractional coordinates of all 6 atoms:
Sm  0.000  0.500  0.000
Sm  0.500  0.000  0.000
Ba  0.681  0.681  0.362
Ba  0.319  0.319  0.638
As  0.882  0.882  0.762
As  0.118  0.118  0.238